No. 1
Computed, not measured: an optimized crystal structure of Li2FeP2O8 at the PBE with a Hubbard U level of DFT.

Raw total energy, eV per cell: -86.127

abc: 4.9461 4.9502 7.0564
angles: 84.14 89.68 60.50
With the nearest neighbours (Å) after each atom.
Space group P-1 (No. 2)
Inequivalent atoms, fractional coordinates:
Li  0.1948  0.1126  0.2859  4 O 1.94-2.02
Fe  0.5000  0.5000  0.0000  6 O 2.02-2.06
P  0.1455  0.2181  0.7617  4 O 1.55-1.56
O  0.1647  0.7647  0.1794  1 P 1.55
O  0.1659  0.2342  0.5411  1 P 1.56
O  0.1746  0.4875  0.8344  1 P 1.55
O  0.4296  0.8959  0.8346  1 P 1.55


No. 2
Computed, not measured: an optimized crystal structure of LiFe2P2O8 at the PBE with a Hubbard U level of DFT.

Raw total energy, eV per cell: -180.077
DOS at the Fermi energy, states/eV/f.u.: 0.0

abc: 5.1784 10.1510 6.9397
angles: 90.00 90.56 90.00
With the nearest neighbours (Å) after each atom.
Space group P2_1 (No. 4)
Inequivalent atoms, fractional coordinates:
Li  0.0996  0.0000  0.2191  4 O 2.04-2.11
Fe  0.0860  0.8769  0.7496  4 O 2.01-2.09
Fe  0.4799  0.2357  0.7648  4 O 1.87-1.94
P  0.0255  0.6460  0.4818  4 O 1.54-1.56
P  0.4122  0.4758  0.0254  4 O 1.53-1.59
O  0.0115  0.9957  0.5157  1 P 1.54
O  0.0437  0.1942  0.3140  1 P 1.55
O  0.1209  0.4422  0.0118  1 P 1.55
O  0.1380  0.2126  0.6810  1 P 1.56
O  0.3093  0.6883  0.4409  1 P 1.56
O  0.4509  0.9164  0.1590  1 P 1.59
O  0.4517  0.6285  0.0155  1 P 1.57
O  0.4602  0.9205  0.7923  1 P 1.53